# Cs2SBr

An optimized crystal structure of Cs2SBr (PBE, Alexandria).

Energy above the lowest structure with this stoichiometry, meV per atom: 0
DOS at the Fermi energy, states/eV/f.u.: 4.35

Cell: 4.2387 4.2387 8.9931 Å, 90.00 90.00 90.00°
Atoms (fractional coordinates):
Cs  0.0000  0.0000  0.7483
Cs  0.0000  0.0000  0.2517
S  0.5000  0.5000  0.0000
Br  0.5000  0.5000  0.5000

---

# CsSBr4

An optimized crystal structure of CsSBr4 (PBE, Alexandria).

DOS at the Fermi energy, states/eV/f.u.: 2.31

Cell: 11.4472 11.4472 5.5098 Å, 89.39 89.39 134.95°
Atoms (fractional coordinates):
Cs  0.6288  0.3712  0.2500
Cs  0.3712  0.6288  0.7500
S  0.0316  0.9684  0.7500
S  0.9684  0.0316  0.2500
Br  0.6826  0.7762  0.2533
Br  0.8925  0.3816  0.8459
Br  0.2238  0.3174  0.2467
Br  0.6184  0.1075  0.6541
Br  0.3816  0.8925  0.3459
Br  0.7762  0.6826  0.7533
Br  0.1075  0.6184  0.1541
Br  0.3174  0.2238  0.7467

---

# CsS2Br

An optimized crystal structure of CsS2Br (PBE, Alexandria).

Energy above the lowest structure with this stoichiometry, meV per atom: 0
DOS at the Fermi energy, states/eV/f.u.: 1.82

Cell: 5.2138 5.1127 12.5147 Å, 90.00 79.54 90.00°
Atoms (fractional coordinates):
Cs  0.6850  0.7500  0.1565
Cs  0.3150  0.2500  0.8435
S  0.9401  0.4413  0.5944
S  0.0599  0.5587  0.4056
S  0.9401  0.0587  0.5944
S  0.0599  0.9413  0.4056
Br  0.1932  0.2500  0.1405
Br  0.8068  0.7500  0.8595

---

# Cs2S5Br2

An optimized crystal structure of Cs2S5Br2 (PBE, Alexandria).

DOS at the Fermi energy, states/eV/f.u.: 11.73

Cell: 12.2784 12.2784 12.2784 Å, 160.00 110.34 73.30°
Atoms (fractional coordinates):
Cs  0.6251  0.1236  0.4985
Cs  0.3749  0.8764  0.5015
Cs  0.1251  0.6266  0.5015
Cs  0.8749  0.3734  0.4985
S  0.2276  0.7276  0.0000
S  0.2724  0.2724  0.5000
S  0.7276  0.7276  0.5000
S  0.7724  0.2724  0.0000
S  0.3651  0.8651  0.0000
S  0.1349  0.1349  0.5000
S  0.8651  0.8651  0.5000
S  0.6349  0.1349  0.0000
S  0.0000  0.5000  0.0000
S  0.5000  0.5000  0.5000
Br  0.0000  0.0000  0.0000
Br  0.5000  0.5000  0.0000
Br  0.2500  0.2576  0.0076
Br  0.7500  0.7424  0.9924

---

no.,ΔE_f (raw) (meV/atom)
1,-1065
2,-453
3,-690
4,154